Here is Sb2TeMo after structural relaxation from Alexandria. Energies are from GGA-PBE.

Its total energy is -4.92 eV/atom. As for the symmetry: No. 10.

Geometry as POSCAR:
```
Sb2TeMo
1.0
3.5131 0.0000 0.0000
0.0000 5.0853 0.0067
0.0000 4.9870 5.2907
Sb Mo Te
2 1 1
Direct
0.0000 0.0000 0.0000
0.5000 0.5000 0.0000
0.0000 0.0000 0.5000
0.5000 0.5000 0.5000
```



Here is SbTe2Mo after structural relaxation from Alexandria. Energies are from GGA-PBE.

Its total energy is -5.10 eV/atom. As for the symmetry: No. 71.

Geometry as POSCAR:
```
SbTe2Mo
1.0
-6.4762 3.4337 0.4797
-6.3153 -1.4707 3.4520
7.2516 1.1476 -0.2445
Te Sb Mo
2 1 1
Direct
0.5812 0.5812 0.0000
0.9188 0.9188 0.0000
0.2500 0.7500 0.5000
0.7500 0.2500 0.5000
```



Here is Sb2TeMo after structural relaxation from Alexandria. Energies are from GGA-PBE.

Its total energy is -4.85 eV/atom. As for the symmetry: No. 123.

Geometry as POSCAR:
```
Sb2TeMo
1.0
5.5448 0.0000 0.0000
0.0000 4.2533 0.0000
0.0000 0.0000 4.2533
Sb Mo Te
2 1 1
Direct
0.0000 0.5000 0.5000
0.0000 0.0000 0.0000
0.5000 0.0000 0.5000
0.5000 0.5000 0.0000
```



Here is Ti2SbTeMo after structural relaxation from Alexandria. Energies are from GGA-PBE.

Its total energy is -5.38 eV/atom. As for the symmetry: No. 123.

Geometry as POSCAR:
```
Ti2SbTeMo
1.0
-0.5558 1.1706 -4.7831
-5.2306 -2.2660 0.0532
-1.8904 4.3939 1.2950
Mo Sb Ti Te
1 1 2 1
Direct
0.5000 0.5000 0.5000
0.0000 0.5000 0.0000
0.5000 0.0000 0.0000
0.0000 0.0000 0.5000
0.0000 0.0000 0.0000
```



Here is TlSbTe2Mo after structural relaxation from Alexandria. Energies are from GGA-PBE.

Its polymorph energy (0 for the lowest one) is 0.000 eV per atom. As for the symmetry: No. 123.

Geometry as POSCAR:
```
TlSbTe2Mo
1.0
-0.4792 3.4333 4.1785
4.1663 -2.4402 2.4828
3.3522 3.3304 -2.3520
Te Sb Mo Tl
2 1 1 1
Direct
0.0000 0.5000 0.0000
0.5000 0.0000 0.0000
0.0000 0.0000 0.5000
0.0000 0.0000 0.0000
0.5000 0.5000 0.5000
```



Here is Sb2TeMoW after structural relaxation from Alexandria. Energies are from GGA-PBE.

Its polymorph energy (0 for the lowest one) is 0.000 eV per atom. As for the symmetry: No. 123.

Geometry as POSCAR:
```
Sb2TeMoW
1.0
5.2301 0.0000 0.0000
0.0000 5.2301 0.0000
0.0000 0.0000 5.3509
W Te Sb Mo
1 1 2 1
Direct
0.0000 0.0000 0.0000
0.0000 0.0000 0.5000
0.0000 0.5000 0.0000
0.5000 0.0000 0.0000
0.5000 0.5000 0.5000
```



Taking the records one at a time from the top gives spin magnetization values of 2.06; 0.00; 2.81; 2.78; 0.01; 4.36 μB per cell.
Taking the records one at a time from the top gives V values of 94; 106; 100; 140; 156; 146 Å³ per cell.